No. 1
Here is an optimized crystal structure of LiGaNi3 from the Alexandria database. Energies are from PBE. Values from VASP.

Geometry as Quantum ESPRESSO input:
```
&SYSTEM
  ibrav = 0, nat = 5, ntyp = 3
/
ATOMIC_SPECIES
Li 6.94 Li.upf
Ga 69.72 Ga.upf
Ni 58.69 Ni.upf
CELL_PARAMETERS angstrom
3.9198 0.0000 0.0000
0.0000 3.9198 0.0000
0.0000 0.0000 3.9198
ATOMIC_POSITIONS crystal
Li 0.0000 0.0000 0.0000
Ga 0.5000 0.5000 0.5000
Ni 0.0000 0.0000 0.5000
Ni 0.0000 0.5000 0.0000
Ni 0.5000 0.0000 0.0000
```

Values from the calculation:
* E_tot: -3.972 eV/atom
* formation energy from the elements: 0.49 eV/atom
* energy above the most stable polymorph in this dataset: 717 meV per atom
* total moment: 0.000 μB per cell

---

No. 2
Here is an optimized crystal structure of Al4TeMo from the Alexandria database. Energies are from PBE. Values from VASP.

Geometry as Quantum ESPRESSO input:
```
&SYSTEM
  ibrav = 0, nat = 6, ntyp = 3
/
ATOMIC_SPECIES
Al 26.98 Al.upf
Te 127.60 Te.upf
Mo 95.94 Mo.upf
CELL_PARAMETERS angstrom
0.0000 3.7300 3.7300
3.7300 0.0000 3.7300
3.7300 3.7300 0.0000
ATOMIC_POSITIONS crystal
Al 0.1237 0.1237 0.1237
Al 0.1237 0.1237 0.6288
Al 0.1237 0.6288 0.1237
Al 0.6288 0.1237 0.1237
Te 0.5000 0.5000 0.5000
Mo 0.7500 0.7500 0.7500
```

Values from the calculation:
* E_tot: -4.617 eV/atom
* raw formation energy: 0.206 eV per atom
* total moment: 0.000 μB per cell

---

No. 3
Here is an optimized crystal structure of SrCeH2 from the Alexandria database. Energies are from PBE. Values from VASP.

Geometry as Quantum ESPRESSO input:
```
&SYSTEM
  ibrav = 0, nat = 12, ntyp = 3
/
ATOMIC_SPECIES
Sr 87.62 Sr.upf
Ce 140.12 Ce.upf
H 1.01 H.upf
CELL_PARAMETERS angstrom
3.7062 0.0000 0.0000
-1.8531 3.2097 0.0000
0.0000 0.0000 18.5706
ATOMIC_POSITIONS crystal
Sr 0.0000 0.0000 0.0000
Sr 0.3333 0.6667 0.6667
Sr 0.6667 0.3333 0.3333
Ce 0.0000 0.0000 0.5000
Ce 0.3333 0.6667 0.1667
Ce 0.6667 0.3333 0.8333
H 0.0000 0.0000 0.2344
H 0.0000 0.0000 0.7656
H 0.3333 0.6667 0.4323
H 0.3333 0.6667 0.9010
H 0.6667 0.3333 0.0990
H 0.6667 0.3333 0.5677
```

Values from the calculation:
* E_tot: -3.808 eV/atom
* energy above the most stable polymorph in this dataset: 0 meV per atom
* total moment: 3.173 μB per cell

---

No. 4
Here is an optimized crystal structure of In6Sn2Hg3 from the Alexandria database. Energies are from PBE. Values from VASP.

Geometry as Quantum ESPRESSO input:
```
&SYSTEM
  ibrav = 0, nat = 11, ntyp = 3
/
ATOMIC_SPECIES
In 114.82 In.upf
Sn 118.71 Sn.upf
Hg 200.59 Hg.upf
CELL_PARAMETERS angstrom
1.7207 0.9934 28.8237
-1.7207 0.9934 28.8237
0.0000 -1.9869 28.8237
ATOMIC_POSITIONS crystal
In 0.0885 0.0885 0.0885
In 0.1824 0.1824 0.1824
In 0.3628 0.3628 0.3628
In 0.6372 0.6372 0.6372
In 0.8176 0.8176 0.8176
In 0.9115 0.9115 0.9115
Sn 0.4531 0.4531 0.4531
Sn 0.5469 0.5469 0.5469
Hg 0.0000 0.0000 0.0000
Hg 0.2746 0.2746 0.2746
Hg 0.7254 0.7254 0.7254
```

Values from the calculation:
* E_tot: -2.286 eV/atom
* formation energy from the elements: 0.02 eV/atom
* energy above the most stable polymorph in this dataset: 4 meV per atom
* total moment: 0.000 μB per cell

---

No. 5
Here is an optimized crystal structure of Tl2Sb from the Alexandria database. Energies are from PBE. Values from VASP.

Geometry as Quantum ESPRESSO input:
```
&SYSTEM
  ibrav = 0, nat = 12, ntyp = 2
/
ATOMIC_SPECIES
Tl 204.38 Tl.upf
Sb 121.76 Sb.upf
CELL_PARAMETERS angstrom
5.7868 0.0000 0.0000
0.0000 9.1109 0.0000
0.0000 0.0000 6.9820
ATOMIC_POSITIONS crystal
Tl 0.0000 0.0000 0.0000
Tl 0.0000 0.0000 0.5000
Tl 0.0000 0.3296 0.2500
Tl 0.0000 0.6704 0.7500
Tl 0.5000 0.1704 0.7500
Tl 0.5000 0.5000 0.0000
Tl 0.5000 0.5000 0.5000
Tl 0.5000 0.8296 0.2500
Sb 0.0000 0.3269 0.7500
Sb 0.0000 0.6731 0.2500
Sb 0.5000 0.1731 0.2500
Sb 0.5000 0.8269 0.7500
```

Values from the calculation:
* E_tot: -2.916 eV/atom
* raw formation energy: 0.036 eV per atom
* energy above the most stable polymorph in this dataset: 55 meV per atom
* total moment: 0.000 μB per cell

---

No. 6
Here is an optimized crystal structure of Nd2Ho8Th3 from the Alexandria database. Energies are from PBE. Values from VASP.

Geometry as Quantum ESPRESSO input:
```
&SYSTEM
  ibrav = 0, nat = 13, ntyp = 3
/
ATOMIC_SPECIES
Nd 144.24 Nd.upf
Ho 164.93 Ho.upf
Th 232.04 Th.upf
CELL_PARAMETERS angstrom
11.2093 -3.4369 0.0000
11.2093 3.4369 0.0000
-0.4883 0.0000 6.0061
ATOMIC_POSITIONS crystal
Nd 0.2471 0.2471 0.1171
Nd 0.7529 0.7529 0.8829
Ho 0.1152 0.1152 0.3454
Ho 0.1288 0.6269 0.1454
Ho 0.3568 0.3568 0.6474
Ho 0.3731 0.8712 0.8546
Ho 0.6269 0.1288 0.1454
Ho 0.6432 0.6432 0.3526
Ho 0.8712 0.3731 0.8546
Ho 0.8848 0.8848 0.6546
Th 0.2561 0.7439 0.5000
Th 0.5000 0.5000 0.0000
Th 0.7439 0.2561 0.5000
```

Values from the calculation:
* E_tot: -4.900 eV/atom
* formation energy from the elements: 0.36 eV/atom
* energy above the most stable polymorph in this dataset: 96 meV per atom
* total moment: 0.000 μB per cell

---

No. 7
Here is an optimized crystal structure of VHgTe2 from the Alexandria database. Energies are from PBE. Values from VASP.

Geometry as Quantum ESPRESSO input:
```
&SYSTEM
  ibrav = 0, nat = 8, ntyp = 3
/
ATOMIC_SPECIES
V 50.94 V.upf
Hg 200.59 Hg.upf
Te 127.60 Te.upf
CELL_PARAMETERS angstrom
3.5378 0.0000 0.0000
1.7445 6.4723 0.0000
0.3451 2.5372 9.6606
ATOMIC_POSITIONS crystal
V 0.0000 0.0000 0.0000
V 0.1985 0.6155 0.9288
Hg 0.0758 0.3028 0.4648
Hg 0.0935 0.8023 0.4628
Te 0.3810 0.2146 0.1223
Te 0.5580 0.9249 0.7961
Te 0.6404 0.6905 0.1325
Te 0.8176 0.4006 0.8067
```

Values from the calculation:
* E_tot: -4.131 eV/atom
* raw formation energy: -0.205 eV per atom
* total moment: 0.000 μB per cell

---

No. 8
Here is an optimized crystal structure of ZrCdSi2 from the Alexandria database. Energies are from PBE. Values from VASP.

Geometry as Quantum ESPRESSO input:
```
&SYSTEM
  ibrav = 0, nat = 4, ntyp = 3
/
ATOMIC_SPECIES
Zr 91.22 Zr.upf
Cd 112.41 Cd.upf
Si 28.09 Si.upf
CELL_PARAMETERS angstrom
4.3413 0.0000 0.0000
0.0000 4.3413 0.0000
0.0000 0.0000 3.8113
ATOMIC_POSITIONS crystal
Zr 0.0000 0.0000 0.0000
Cd 0.5000 0.5000 0.0000
Si 0.0000 0.5000 0.5000
Si 0.5000 0.0000 0.5000
```

Values from the calculation:
* E_tot: -5.201 eV/atom
* raw formation energy: -0.123 eV per atom
* total moment: 0.000 μB per cell

---

No. 9
Here is an optimized crystal structure of LiFe2Br from the Alexandria database. Energies are from PBE. Values from VASP.

Geometry as Quantum ESPRESSO input:
```
&SYSTEM
  ibrav = 0, nat = 16, ntyp = 3
/
ATOMIC_SPECIES
Li 6.94 Li.upf
Fe 55.84 Fe.upf
Br 79.90 Br.upf
CELL_PARAMETERS angstrom
5.7158 0.0000 0.0000
0.0000 5.7158 0.0000
0.0000 0.0000 5.7158
ATOMIC_POSITIONS crystal
Li 0.0000 0.0000 0.0000
Li 0.0000 0.5000 0.5000
Li 0.5000 0.0000 0.5000
Li 0.5000 0.5000 0.0000
Fe 0.2500 0.2500 0.2500
Fe 0.2500 0.2500 0.7500
Fe 0.2500 0.7500 0.2500
Fe 0.2500 0.7500 0.7500
Fe 0.7500 0.2500 0.2500
Fe 0.7500 0.2500 0.7500
Fe 0.7500 0.7500 0.2500
Fe 0.7500 0.7500 0.7500
Br 0.0000 0.0000 0.5000
Br 0.0000 0.5000 0.0000
Br 0.5000 0.0000 0.0000
Br 0.5000 0.5000 0.5000
```

Values from the calculation:
* E_tot: -4.237 eV/atom
* raw formation energy: 0.891 eV per atom
* energy above the most stable polymorph in this dataset: 873 meV per atom
* total moment: 0.000 μB per cell

---

No. 10
Here is an optimized crystal structure of NaIn12Ir6 from the Alexandria database. Energies are from PBE. Values from VASP.

Geometry as Quantum ESPRESSO input:
```
&SYSTEM
  ibrav = 0, nat = 19, ntyp = 3
/
ATOMIC_SPECIES
Na 22.99 Na.upf
In 114.82 In.upf
Ir 192.22 Ir.upf
CELL_PARAMETERS angstrom
6.3368 3.6585 3.0374
-6.3368 3.6585 3.0374
0.0000 -7.3171 3.0374
ATOMIC_POSITIONS crystal
Na 0.0000 0.0000 0.0000
In 0.1228 0.5000 0.8772
In 0.1228 0.8772 0.5000
In 0.1450 0.4078 0.4078
In 0.4078 0.1450 0.4078
In 0.4078 0.4078 0.1450
In 0.5000 0.1228 0.8772
In 0.5000 0.8772 0.1228
In 0.5922 0.5922 0.8550
In 0.5922 0.8550 0.5922
In 0.8550 0.5922 0.5922
In 0.8772 0.1228 0.5000
In 0.8772 0.5000 0.1228
Ir 0.2687 0.2687 0.6805
Ir 0.2687 0.6805 0.2687
Ir 0.3195 0.7313 0.7313
Ir 0.6805 0.2687 0.2687
Ir 0.7313 0.3195 0.7313
Ir 0.7313 0.7313 0.3195
```

Values from the calculation:
* E_tot: -4.684 eV/atom
* formation energy from the elements: -0.09 eV/atom
* total moment: 0.000 μB per cell

---

No. 11
Here is an optimized crystal structure of TaIn2As from the Alexandria database. Energies are from PBE. Values from VASP.

Geometry as Quantum ESPRESSO input:
```
&SYSTEM
  ibrav = 0, nat = 4, ntyp = 3
/
ATOMIC_SPECIES
Ta 180.95 Ta.upf
In 114.82 In.upf
As 74.92 As.upf
CELL_PARAMETERS angstrom
3.9220 0.0000 0.0000
0.0000 3.9220 0.0000
0.0000 0.0000 5.4313
ATOMIC_POSITIONS crystal
Ta 0.0000 0.0000 0.0000
In 0.5000 0.5000 0.2477
In 0.5000 0.5000 0.7523
As 0.0000 0.0000 0.5000
```

Values from the calculation:
* E_tot: -5.204 eV/atom
* formation energy from the elements: 0.29 eV/atom
* total moment: 0.000 μB per cell

---

No. 12
Here is an optimized crystal structure of CuHg2Te from the Alexandria database. Energies are from PBE. Values from VASP.

Geometry as Quantum ESPRESSO input:
```
&SYSTEM
  ibrav = 0, nat = 4, ntyp = 3
/
ATOMIC_SPECIES
Cu 63.55 Cu.upf
Hg 200.59 Hg.upf
Te 127.60 Te.upf
CELL_PARAMETERS angstrom
4.7608 0.0000 0.0000
0.0000 4.2827 0.0000
-2.3439 0.0000 5.2715
ATOMIC_POSITIONS crystal
Cu 0.0000 0.0000 0.0000
Hg 0.1852 0.5000 0.3708
Hg 0.5982 0.0000 0.1993
Te 0.8641 0.5000 0.7310
```

Values from the calculation:
* E_tot: -1.899 eV/atom
* raw formation energy: 0.061 eV per atom
* total moment: 0.000 μB per cell

---

Copy entry 2 word for word.
Here is an optimized crystal structure of Al4TeMo from the Alexandria database. Energies are from PBE. Values from VASP.

Geometry as Quantum ESPRESSO input:
```
&SYSTEM
  ibrav = 0, nat = 6, ntyp = 3
/
ATOMIC_SPECIES
Al 26.98 Al.upf
Te 127.60 Te.upf
Mo 95.94 Mo.upf
CELL_PARAMETERS angstrom
0.0000 3.7300 3.7300
3.7300 0.0000 3.7300
3.7300 3.7300 0.0000
ATOMIC_POSITIONS crystal
Al 0.1237 0.1237 0.1237
Al 0.1237 0.1237 0.6288
Al 0.1237 0.6288 0.1237
Al 0.6288 0.1237 0.1237
Te 0.5000 0.5000 0.5000
Mo 0.7500 0.7500 0.7500
```

Values from the calculation:
* E_tot: -4.617 eV/atom
* raw formation energy: 0.206 eV per atom
* total moment: 0.000 μB per cell

---

- total moment of number 10 (NaIn12Ir6)?
  0.000 μB per cell